Entry from the Alexandria database: a geometry-optimized TlSn2Pb structure (GGA-PBE).

Unit cell a=3.207 b=5.920 c=6.272 alpha=90.00 beta=90.27 gamma=90.00
Fractional coordinates of all 4 atoms:
1 Tl 0.000 0.000 0.000
2 Sn 0.015 0.500 0.256
3 Sn 0.985 0.500 0.744
4 Pb 0.500 0.000 0.500

Computed properties:
Symmetry   P2/m (10)
Uncorrected energy   -0.12656 hartree per atom
N(E_F)   0.54 states/eV per atom
ΔH_f (0 K)   0.0761 eV per atom
Size of the total moment   0.00 Bohr magnetons per cell

Entry from the Alexandria database: a geometry-optimized Er2Mn2AlFe5 structure (GGA-PBE).

Unit cell a=9.124 b=9.124 c=3.594 alpha=90.00 beta=90.00 gamma=90.00
Fractional coordinates of all 20 atoms:
1 Er 0.186 0.314 0.000
2 Er 0.314 0.814 0.000
3 Er 0.686 0.186 0.000
4 Er 0.814 0.686 0.000
5 Mn 0.109 0.609 0.000
6 Mn 0.391 0.109 0.000
7 Mn 0.609 0.891 0.000
8 Mn 0.891 0.391 0.000
9 Al 0.000 0.000 0.000
10 Al 0.500 0.500 0.000
11 Fe 0.000 0.500 0.500
12 Fe 0.055 0.799 0.500
13 Fe 0.201 0.055 0.500
14 Fe 0.299 0.555 0.500
15 Fe 0.445 0.299 0.500
16 Fe 0.500 0.000 0.500
17 Fe 0.555 0.701 0.500
18 Fe 0.701 0.445 0.500
19 Fe 0.799 0.945 0.500
20 Fe 0.945 0.201 0.500

Computed properties:
Symmetry   P4/mbm (127)
Uncorrected energy   -0.26627 hartree per atom
N(E_F)   1.26 states/eV per atom
ΔH_f (0 K)   0.1065 eV per atom
Size of the total moment   22.85 Bohr magnetons per cell

Entry from the Alexandria database: a geometry-optimized PaGaPRu3 structure (GGA-PBE).

Unit cell a=8.171 b=8.171 c=5.512 alpha=90.00 beta=90.00 gamma=141.82
Fractional coordinates of all 12 atoms:
1 Pa 0.209 0.791 0.750
2 Pa 0.791 0.209 0.250
3 Ga 0.107 0.893 0.250
4 Ga 0.893 0.107 0.750
5 P 0.418 0.582 0.250
6 P 0.582 0.418 0.750
7 Ru 0.245 0.245 0.000
8 Ru 0.245 0.245 0.500
9 Ru 0.267 0.733 0.250
10 Ru 0.733 0.267 0.750
11 Ru 0.755 0.755 0.000
12 Ru 0.755 0.755 0.500

Computed properties:
Symmetry   Cmcm (63)
Uncorrected energy   -0.29125 hartree per atom
N(E_F)   0.88 states/eV per atom
ΔH_f (0 K)   -0.2986 eV per atom
Size of the total moment   0.00 Bohr magnetons per cell

Entry from the Alexandria database: a geometry-optimized NaLuAgPt structure (GGA-PBE).

Unit cell a=4.850 b=4.850 c=4.850 alpha=60.00 beta=60.00 gamma=60.00
Fractional coordinates of all 4 atoms:
1 Na 0.000 0.000 0.000
2 Lu 0.500 0.500 0.500
3 Ag 0.750 0.750 0.750
4 Pt 0.250 0.250 0.250

Computed properties:
Symmetry   F-43m (216)
Uncorrected energy   -0.15256 hartree per atom
N(E_F)   0.37 states/eV per atom
ΔH_f (0 K)   -0.4683 eV per atom
Size of the total moment   0.00 Bohr magnetons per cell

Entry from the Alexandria database: a geometry-optimized VNi2HRu structure (GGA-PBE).

Unit cell a=3.604 b=3.604 c=3.907 alpha=90.00 beta=90.00 gamma=90.00
Fractional coordinates of all 5 atoms:
1 V 0.000 0.000 0.000
2 Ni 0.000 0.500 0.500
3 Ni 0.500 0.000 0.500
4 H 0.500 0.500 0.500
5 Ru 0.500 0.500 0.000

Computed properties:
Symmetry   P4/mmm (123)
Offset from the most stable computed form   0 meV/atom
Uncorrected energy   -0.25013 hartree per atom
N(E_F)   0.48 states/eV per atom
Size of the total moment   0.10 Bohr magnetons per cell

Entry from the Alexandria database: a geometry-optimized AcInSb3 structure (GGA-PBE).

Unit cell a=9.817 b=9.817 c=6.492 alpha=90.00 beta=90.00 gamma=149.12
Fractional coordinates of all 10 atoms:
1 Ac 0.169 0.831 0.750
2 Ac 0.831 0.169 0.250
3 In 0.381 0.619 0.750
4 In 0.619 0.381 0.250
5 Sb 0.000 0.000 0.000
6 Sb 0.000 0.000 0.500
7 Sb 0.215 0.785 0.250
8 Sb 0.451 0.549 0.250
9 Sb 0.549 0.451 0.750
10 Sb 0.785 0.215 0.750

Computed properties:
Symmetry   Cmcm (63)
Offset from the most stable computed form   114 meV/atom
Uncorrected energy   -0.15365 hartree per atom
N(E_F)   0.49 states/eV per atom
Uncorrected formation energy   -0.34 eV/atom
Size of the total moment   0.00 Bohr magnetons per cell

Entry from the Alexandria database: a geometry-optimized SmIn2Ag structure (GGA-PBE).

Unit cell a=5.840 b=5.840 c=5.840 alpha=47.97 beta=47.97 gamma=47.97
Fractional coordinates of all 4 atoms:
1 Sm 0.000 0.000 0.000
2 In 0.225 0.225 0.225
3 In 0.775 0.775 0.775
4 Ag 0.500 0.500 0.500

Computed properties:
Symmetry   R-3m (166)
Uncorrected energy   -0.13073 hartree per atom
N(E_F)   0.51 states/eV per atom
ΔH_f (0 K)   -0.2955 eV per atom
Size of the total moment   0.00 Bohr magnetons per cell

Entry from the Alexandria database: a geometry-optimized CaSn2Pb structure (GGA-PBE).

Unit cell a=6.965 b=6.965 c=6.965 alpha=102.72 beta=102.72 gamma=124.04
Fractional coordinates of all 8 atoms:
1 Ca 0.000 0.000 0.000
2 Ca 0.750 0.250 0.500
3 Sn 0.147 0.625 0.022
4 Sn 0.375 0.397 0.522
5 Sn 0.603 0.125 0.978
6 Sn 0.875 0.853 0.478
7 Pb 0.250 0.750 0.500
8 Pb 0.500 0.500 0.000

Computed properties:
Symmetry   I-42d (122)
Uncorrected energy   -0.13240 hartree per atom
N(E_F)   0.42 states/eV per atom
ΔH_f (0 K)   -0.1739 eV per atom
Size of the total moment   0.00 Bohr magnetons per cell

Entry from the Alexandria database: a geometry-optimized Er2Al4GeAu3 structure (GGA-PBE).

Unit cell a=4.255 b=4.255 c=10.806 alpha=90.00 beta=90.00 gamma=90.00
Fractional coordinates of all 10 atoms:
1 Er 0.000 0.500 0.248
2 Er 0.500 0.000 0.752
3 Al 0.000 0.000 0.500
4 Al 0.000 0.500 0.862
5 Al 0.500 0.000 0.138
6 Al 0.500 0.500 0.500
7 Ge 0.500 0.500 0.000
8 Au 0.000 0.000 0.000
9 Au 0.000 0.500 0.637
10 Au 0.500 0.000 0.363

Computed properties:
Symmetry   P-4m2 (115)
Uncorrected energy   -0.16404 hartree per atom
N(E_F)   0.35 states/eV per atom
ΔH_f (0 K)   -0.6091 eV per atom
Size of the total moment   0.00 Bohr magnetons per cell

Entry from the Alexandria database: a geometry-optimized Na2Cd2Sn structure (GGA-PBE).

Unit cell a=7.615 b=7.615 c=4.819 alpha=90.00 beta=90.00 gamma=90.00
Fractional coordinates of all 10 atoms:
1 Na 0.173 0.327 0.000
2 Na 0.327 0.827 0.000
3 Na 0.673 0.173 0.000
4 Na 0.827 0.673 0.000
5 Cd 0.132 0.632 0.500
6 Cd 0.368 0.132 0.500
7 Cd 0.632 0.868 0.500
8 Cd 0.868 0.368 0.500
9 Sn 0.000 0.000 0.500
10 Sn 0.500 0.500 0.500

Computed properties:
Symmetry   P4/mbm (127)
Offset from the most stable computed form   64 meV/atom
Uncorrected energy   -0.06525 hartree per atom
N(E_F)   0.53 states/eV per atom
ΔH_f (0 K)   -0.0814 eV per atom
Size of the total moment   0.00 Bohr magnetons per cell

Entry from the Alexandria database: a geometry-optimized PuHgPtPb structure (GGA-PBE).

Unit cell a=5.099 b=5.099 c=5.099 alpha=60.00 beta=60.00 gamma=60.00
Fractional coordinates of all 4 atoms:
1 Pu 0.000 0.000 0.000
2 Hg 0.750 0.750 0.750
3 Pt 0.250 0.250 0.250
4 Pb 0.500 0.500 0.500

Computed properties:
Symmetry   F-43m (216)
Uncorrected energy   -0.23322 hartree per atom
N(E_F)   3.57 states/eV per atom
ΔH_f (0 K)   -0.2505 eV per atom
Size of the total moment   5.51 Bohr magnetons per cell

Entry from the Alexandria database: a geometry-optimized MnAsIr2 structure (GGA-PBE).

Unit cell a=4.859 b=4.859 c=4.449 alpha=105.19 beta=105.19 gamma=35.88
Fractional coordinates of all 4 atoms:
1 Mn 0.000 0.000 0.000
2 As 0.253 0.253 0.635
3 Ir 0.518 0.518 0.508
4 Ir 0.742 0.742 0.129

Computed properties:
Symmetry   Cm (8)
Uncorrected energy   -0.28790 hartree per atom
N(E_F)   0.69 states/eV per atom
ΔH_f (0 K)   0.0511 eV per atom
Size of the total moment   4.00 Bohr magnetons per cell

Entry from the Alexandria database: a geometry-optimized ReWAu2 structure (GGA-PBE).

Unit cell a=9.637 b=9.637 c=9.637 alpha=16.89 beta=16.89 gamma=16.89
Fractional coordinates of all 4 atoms:
1 Re 0.000 0.000 0.000
2 W 0.500 0.500 0.500
3 Au 0.250 0.250 0.250
4 Au 0.750 0.750 0.750

Computed properties:
Symmetry   R-3m (166)
Offset from the most stable computed form   214 meV/atom
Uncorrected energy   -0.27476 hartree per atom
N(E_F)   1.27 states/eV per atom
ΔH_f (0 K)   0.5123 eV per atom
Size of the total moment   0.42 Bohr magnetons per cell

Entry from the Alexandria database: a geometry-optimized Sc2W2Au structure (GGA-PBE).

Unit cell a=7.010 b=7.010 c=3.804 alpha=90.00 beta=90.00 gamma=90.00
Fractional coordinates of all 10 atoms:
1 Sc 0.138 0.362 0.000
2 Sc 0.362 0.862 0.000
3 Sc 0.638 0.138 0.000
4 Sc 0.862 0.638 0.000
5 W 0.164 0.664 0.500
6 W 0.336 0.164 0.500
7 W 0.664 0.836 0.500
8 W 0.836 0.336 0.500
9 Au 0.000 0.000 0.000
10 Au 0.500 0.500 0.000

Computed properties:
Symmetry   P4/mbm (127)
Offset from the most stable computed form   512 meV/atom
Uncorrected energy   -0.28143 hartree per atom
N(E_F)   1.03 states/eV per atom
ΔH_f (0 K)   0.7111 eV per atom
Size of the total moment   0.00 Bohr magnetons per cell

Entry from the Alexandria database: a geometry-optimized HPbF structure (GGA-PBE).

Unit cell a=5.320 b=5.320 c=6.853 alpha=111.82 beta=111.82 gamma=36.58
Fractional coordinates of all 6 atoms:
1 H 0.006 0.006 0.449
2 H 0.994 0.994 0.551
3 Pb 0.302 0.302 0.794
4 Pb 0.698 0.698 0.206
5 F 0.457 0.457 0.165
6 F 0.543 0.543 0.835

Computed properties:
Symmetry   C2/m (12)
Offset from the most stable computed form   0 meV/atom
Uncorrected energy   -0.14552 hartree per atom
N(E_F)   0.24 states/eV per atom
Size of the total moment   0.00 Bohr magnetons per cell